[1]
A plane-wave DFT calculation with PBE was carried out for a relaxed structure of Zr5Zn2Bi.

abc: 7.3492 7.3492 12.6952
angles: 90.00 90.00 90.00
Space group I4/mcm (No. 140)
One atom of each set of equivalent atoms:
Zr1 0.0000 0.0000 0.0000 x4
Zr2 0.1554 0.3446 0.1502 x16
Zn1 0.1355 0.3645 0.5000 x8
Bi1 0.0000 0.0000 0.2500 x4

Computed properties:
DOS(E_F) in states/eV per cell: 52.2
Calculated formation energy in eV per atom: -0.22


[2]
A plane-wave DFT calculation with PBE was carried out for a relaxed structure of ErMnPt6.

abc: 4.0216 4.0216 8.0333
angles: 90.00 90.00 90.00
Space group P4/mmm (No. 123)
One atom of each set of equivalent atoms:
Er1 0.0000 0.0000 0.0000 x1
Mn1 0.0000 0.0000 0.5000 x1
Pt1 0.0000 0.5000 0.2622 x4
Pt2 0.5000 0.5000 0.0000 x1
Pt3 0.5000 0.5000 0.5000 x1

Computed properties:
DOS(E_F) in states/eV per cell: 9.3
Calculated formation energy in eV per atom: -0.69


[3]
A plane-wave DFT calculation with PBE was carried out for a relaxed structure of CeScAg.

abc: 3.2980 3.2980 13.2500
angles: 90.00 90.00 90.00
Space group I4mm (No. 107)
One atom of each set of equivalent atoms:
Ce1 0.0000 0.0000 0.0000 x2
Sc1 0.0000 0.0000 0.3106 x2
Ag1 0.0000 0.0000 0.6759 x2

Computed properties:
Distance to the lowest polymorph of the same formula in meV/atom: 0
DOS(E_F) in states/eV per cell: 9.9
Calculated formation energy in eV per atom: -0.07


[4]
A plane-wave DFT calculation with PBE was carried out for a relaxed structure of Rb3Pa3RuSe8.

abc: 8.0001 8.0001 25.3382
angles: 90.00 90.00 120.00
Space group R-3m (No. 166, hexagonal axes)
One atom of each set of equivalent atoms:
Rb1 0.0000 0.5000 0.0000 x9
Pa1 0.0000 0.5000 0.5000 x9
Ru1 0.0000 0.0000 0.5000 x3
Se1 0.0000 0.0000 0.2357 x6
Se2 0.0255 0.5128 0.2288 x18

Computed properties:
DOS(E_F) in states/eV per cell: 56.5
E_form (uncorrected) in eV/atom: -1.1292


Q: Which formula does entry 1 have?
A: Zr5Zn2Bi


Q: Number 1 is which compound?
A: Zr5Zn2Bi


Q: The highest DOS(E_F) belongs to which entry?
A: Rb3Pa3RuSe8


Q: The lowest DOS(E_F) belongs to which entry?
A: ErMnPt6